Record 1
This record from the Alexandria database describes a relaxed K2ReOs crystal. The functional is PBE.

a = 10.512 Å, b = 10.512 Å, c = 10.512 Å
α = 163.03°, β = 158.16°, γ = 27.79°
Fractional coordinates of all 4 atoms:
K 0.105 0.105 0.000
K 0.395 0.395 0.000
Os 0.250 0.750 0.500
Re 0.750 0.250 0.500

Magnetic moment = 0.000 μB/f.u.
Symmetry = Immm
Polymorph energy (0 for the lowest one) = 108 meV per atom
Formation energy = 3.49 eV/f.u.

Record 2
This record from the Alexandria database describes a relaxed K2ReOs crystal. The functional is PBE.

a = 3.761 Å, b = 3.761 Å, c = 12.217 Å
α = 81.15°, β = 81.15°, γ = 90.00°
Fractional coordinates of all 8 atoms:
Re 0.500 0.500 0.000
Re 0.250 0.750 0.500
K 0.626 0.125 0.250
K 0.124 0.625 0.250
K 0.375 0.374 0.750
K 0.875 0.876 0.750
Os 0.000 0.000 0.000
Os 0.750 0.250 0.500

Magnetic moment = 0.000 μB/f.u.
Symmetry = I-42d
Polymorph energy (0 for the lowest one) = 786 meV per atom
Formation energy = 6.20 eV/f.u.

Record 3
This record from the Alexandria database describes a relaxed KRe3Os crystal. The functional is PBE.

a = 4.845 Å, b = 4.845 Å, c = 4.845 Å
α = 90.00°, β = 90.00°, γ = 90.00°
Site moments in Bohr magnetons follow the coordinates.
Fractional coordinates of all 5 atoms:
Re 0.000 0.500 0.000  0.82
Re 0.000 0.000 0.500  0.93
Re 0.500 0.000 0.000  0.60
K 0.500 0.500 0.500  0.01
Os 0.000 0.000 0.000  -0.04

Magnetic moment = 2.701 μB/f.u.
Symmetry = Pm-3m
Polymorph energy (0 for the lowest one) = 0 meV per atom
Formation energy = 10.63 eV/f.u.

Record 4
This record from the Alexandria database describes a relaxed KReOs2 crystal. The functional is PBE.

a = 10.497 Å, b = 10.497 Å, c = 10.497 Å
α = 15.25°, β = 15.25°, γ = 15.25°
Fractional coordinates of all 4 atoms:
K 0.748 0.748 0.748
Os 0.986 0.986 0.986
Os 0.250 0.250 0.250
Re 0.515 0.515 0.515

Magnetic moment = 0.000 μB/f.u.
Symmetry = R3m
Polymorph energy (0 for the lowest one) = 83 meV per atom
Formation energy = 3.13 eV/f.u.

Record 5
This record from the Alexandria database describes a relaxed KRe2Os crystal. The functional is PBE.

a = 4.511 Å, b = 4.511 Å, c = 4.511 Å
α = 60.00°, β = 60.00°, γ = 60.00°
Fractional coordinates of all 4 atoms:
Re 0.250 0.250 0.250
Re 0.750 0.750 0.750
K 0.000 0.000 0.000
Os 0.500 0.500 0.500

Magnetic moment = 0.000 μB/f.u.
Symmetry = Fm-3m
Polymorph energy (0 for the lowest one) = 831 meV per atom
Formation energy = 6.49 eV/f.u.

Record 6
This record from the Alexandria database describes a relaxed KRe2Os crystal. The functional is PBE.

a = 2.793 Å, b = 2.793 Å, c = 9.581 Å
α = 90.00°, β = 90.00°, γ = 90.00°
Fractional coordinates of all 4 atoms:
K 0.000 0.000 0.508
Os 0.500 0.500 0.809
Re 0.000 0.000 0.991
Re 0.500 0.500 0.193

Magnetic moment = 0.000 μB/f.u.
Symmetry = P4mm
Polymorph energy (0 for the lowest one) = 54 meV per atom
Formation energy = 3.38 eV/f.u.